Here is CaSiW4 after structural relaxation from Alexandria. Energies are from GGA-PBEsol.

abc: 5.3261 5.3261 5.3261
angles: 60.00 60.00 60.00
Positions (direct):
W  0.8752  0.3749  0.3749
W  0.3749  0.3749  0.3749
W  0.3749  0.8752  0.3749
W  0.3749  0.3749  0.8752
Ca  0.7500  0.7500  0.7500
Si  0.0000  0.0000  0.0000

## Properties
SG   F-43m
E_form (uncorrected)   0.7138 eV per atom

=====

Here is Ca2YSi after structural relaxation from Alexandria. Energies are from GGA-PBEsol.

abc: 3.5678 3.5678 10.8739
angles: 80.56 80.56 60.00
Positions (direct):
Ca  0.2338  0.2338  0.2987
Ca  0.7662  0.7662  0.7013
Y  0.0000  0.0000  0.0000
Si  0.5000  0.5000  0.5000

## Properties
SG   R-3m
E_form (uncorrected)   0.0321 eV per atom

=====

Here is Ca2YSi after structural relaxation from Alexandria. Energies are from GGA-PBEsol.

abc: 3.4226 3.4226 9.5944
angles: 90.00 90.00 90.00
Positions (direct):
Y  0.5000  0.5000  0.5000
Si  0.5000  0.5000  0.0000
Ca  0.0000  0.0000  0.1909
Ca  0.0000  0.0000  0.8091

## Properties
SG   P4/mmm
E_form (uncorrected)   -0.1204 eV per atom

=====

Here is Ca2YSi after structural relaxation from Alexandria. Energies are from GGA-PBEsol.

abc: 4.6910 4.6910 5.7645
angles: 114.01 114.01 90.00
Positions (direct):
Ca  0.0000  0.0000  0.0000
Ca  0.7500  0.2500  0.5000
Si  0.5000  0.5000  0.0000
Y  0.2500  0.7500  0.5000

## Properties
SG   I-4m2
E_form (uncorrected)   -0.0699 eV per atom

=====

Here is CaY2Si after structural relaxation from Alexandria. Energies are from GGA-PBEsol.

abc: 4.6039 4.6039 5.7001
angles: 113.82 113.82 90.00
Positions (direct):
Si  0.0000  0.0000  0.0000
Y  0.7500  0.2500  0.5000
Y  0.2500  0.7500  0.5000
Ca  0.5000  0.5000  0.0000

## Properties
SG   I4/mmm
E_form (uncorrected)   -0.1423 eV per atom

=====

Here is CaY2Si after structural relaxation from Alexandria. Energies are from GGA-PBEsol.

abc: 3.8827 4.0582 6.7710
angles: 90.00 95.95 90.00
Positions (direct):
Y  0.9328  0.0000  0.7092
Y  0.0672  0.0000  0.2908
Si  0.5000  0.5000  0.5000
Ca  0.5000  0.5000  0.0000

## Properties
SG   P2/m
E_form (uncorrected)   -0.1963 eV per atom

=====

Here is Ca2ZnSi2 after structural relaxation from Alexandria. Energies are from GGA-PBEsol.

abc: 5.4689 5.4689 5.4689
angles: 97.41 115.82 115.82
Positions (direct):
Ca  0.5000  0.2500  0.7500
Ca  0.5000  0.7500  0.2500
Zn  0.0000  0.0000  0.0000
Si  0.0000  0.6631  0.6631
Si  0.0000  0.3369  0.3369

## Properties
SG   I4/mmm
E_form (uncorrected)   -0.0047 eV per atom

=====

Here is CaZn2Si after structural relaxation from Alexandria. Energies are from GGA-PBEsol.

abc: 3.3126 3.3126 6.6628
angles: 90.00 90.00 90.00
Positions (direct):
Zn  0.5000  0.5000  0.8070
Zn  0.0000  0.0000  0.0039
Si  0.5000  0.5000  0.1926
Ca  0.0000  0.0000  0.4965

## Properties
SG   P4mm
E_form (uncorrected)   -0.0849 eV per atom

=====

Here is CaZn3Si after structural relaxation from Alexandria. Energies are from GGA-PBEsol.

abc: 4.7082 4.7082 4.7082
angles: 90.00 90.00 90.00
Positions (direct):
Si  0.0000  0.0000  0.0000
Zn  0.0000  0.5000  0.0000
Zn  0.0000  0.0000  0.5000
Zn  0.5000  0.0000  0.0000
Ca  0.5000  0.5000  0.5000

## Properties
SG   Pm-3m
E_form (uncorrected)   0.1637 eV per atom

=====

Here is Ca3ZrSi after structural relaxation from Alexandria. Energies are from GGA-PBEsol.

abc: 5.5548 5.5548 5.5548
angles: 90.00 90.00 90.00
Positions (direct):
Ca  0.5000  0.0000  0.0000
Ca  0.0000  0.0000  0.5000
Ca  0.0000  0.5000  0.0000
Zr  0.5000  0.5000  0.5000
Si  0.0000  0.0000  0.0000

## Properties
SG   Pm-3m
E_form (uncorrected)   0.4762 eV per atom

=====

Here is CaZrSi2 after structural relaxation from Alexandria. Energies are from GGA-PBEsol.

abc: 2.9005 5.1139 5.1139
angles: 90.00 90.00 90.00
Positions (direct):
Ca  0.5000  0.0000  0.0000
Zr  0.5000  0.5000  0.5000
Si  0.0000  0.5000  0.0000
Si  0.0000  0.0000  0.5000

## Properties
SG   P4/mmm
E_form (uncorrected)   -0.3273 eV per atom

=====

Here is CaSmZn2 after structural relaxation from Alexandria. Energies are from GGA-PBEsol.

abc: 5.0583 5.0583 5.0583
angles: 60.00 60.00 60.00
Positions (direct):
Zn  0.7500  0.7500  0.7500
Zn  0.2500  0.2500  0.2500
Sm  0.0000  0.0000  0.0000
Ca  0.5000  0.5000  0.5000

## Properties
SG   Fm-3m
Formation energy   -108 kJ/mol of formula units